(1)
Entry from Alexandria via LeMat-Bulk: CaSiCl2 after structural relaxation (GGA-PBE).

**Distance to the lowest polymorph of the same formula**: 0.134 eV per atom
**Symmetry**: P2/m

Cell lengths 4.0118, 5.0788, 5.0895 Å; angles 81.61, 90.00, 90.00 degrees
Closest atoms and distances in Å follow each position.
Element x y z (fractional)
Ca  0.5000  0.7500  0.7500  4 Cl 2.78
Cl  0.0000  0.9998  0.0002  2 Ca 2.78, 2 Si 2.78
Cl  0.0000  0.5002  0.4998  2 Ca 2.78, 2 Si 2.78
Si  0.5000  0.2500  0.2500  4 Cl 2.78



(2)
Entry from Alexandria via LeMat-Bulk: CaSiCl3 after structural relaxation (GGA-PBE).

**Distance to the lowest polymorph of the same formula**: 0.141 eV per atom
**Symmetry**: Pm-3m

Cell lengths 5.1164, 5.1164, 5.1164 Å; angles 90.00, 90.00, 90.00 degrees
Closest atoms and distances in Å follow each position.
Element x y z (fractional)
Ca  0.5000  0.5000  0.5000  12 Cl 3.62
Si  0.0000  0.0000  0.0000  6 Cl 2.56
Cl  0.0000  0.5000  0.0000  2 Si 2.56
Cl  0.0000  0.0000  0.5000  2 Si 2.56
Cl  0.5000  0.0000  0.0000  2 Si 2.56



(3)
Entry from Alexandria via LeMat-Bulk: CaSiCl2 after structural relaxation (GGA-PBE).

**Distance to the lowest polymorph of the same formula**: 0.030 eV per atom
**Symmetry**: Immm

Cell lengths 6.8370, 6.8370, 6.8370 Å; angles 145.44, 140.29, 53.64 degrees
Closest atoms and distances in Å follow each position.
Element x y z (fractional)
Ca  0.2500  0.7500  0.5000  4 Cl 2.90, 4 Si 3.08
Cl  0.8926  0.8926  0.0000  2 Si 2.67, 2 Ca 2.90
Cl  0.6074  0.6074  0.0000  2 Si 2.67, 2 Ca 2.90
Si  0.7500  0.2500  0.5000  4 Cl 2.67



(4)
Entry from Alexandria via LeMat-Bulk: CaSiCl2 after structural relaxation (GGA-PBE).

**Distance to the lowest polymorph of the same formula**: 0.200 eV per atom
**Symmetry**: P4mm

Cell lengths 3.8598, 3.8598, 6.6060 Å; angles 90.00, 90.00, 90.00 degrees
Closest atoms and distances in Å follow each position.
Element x y z (fractional)
Ca  0.5000  0.5000  0.8240  5 Cl 2.66-2.80
Cl  0.0000  0.0000  0.9180  1 Si 2.55, 4 Ca 2.80
Cl  0.5000  0.5000  0.2261  1 Ca 2.66
Si  0.0000  0.0000  0.5318  1 Cl 2.55



(5)
Entry from Alexandria via LeMat-Bulk: CaSi2Cl after structural relaxation (GGA-PBE).

**Distance to the lowest polymorph of the same formula**: 0.754 eV per atom
**Symmetry**: I-42d

Cell lengths 9.7549, 9.7549, 7.3201 Å; angles 48.22, 48.22, 90.00 degrees
Closest atoms and distances in Å follow each position.
Element x y z (fractional)
Ca  0.0000  0.0000  0.0000  2 Cl 2.45
Ca  0.7500  0.2500  0.5000  2 Cl 2.45
Si  0.6327  0.1250  0.2500  2 Si 2.45
Si  0.1173  0.6250  0.2500  2 Si 2.45
Si  0.3750  0.3673  0.7500  2 Si 2.45
Si  0.8750  0.8827  0.7500  2 Si 2.45
Cl  0.5000  0.5000  0.0000  2 Ca 2.45
Cl  0.2500  0.7500  0.5000  2 Ca 2.45



(6)
Entry from Alexandria via LeMat-Bulk: CaSiCl2 after structural relaxation (GGA-PBE).

**Distance to the lowest polymorph of the same formula**: 0.285 eV per atom
**Symmetry**: P4/mmm

Cell lengths 4.0435, 4.6517, 4.6517 Å; angles 90.00, 90.00, 90.00 degrees
Closest atoms and distances in Å follow each position.
Element x y z (fractional)
Ca  0.5000  0.0000  0.5000  8 Cl 3.08, 4 Si 3.29
Cl  0.0000  0.0000  0.0000  4 Ca 3.08, 4 Si 3.08, 4 Cl 3.29
Cl  0.0000  0.5000  0.5000  4 Ca 3.08, 4 Si 3.08, 4 Cl 3.29
Si  0.5000  0.5000  0.0000  8 Cl 3.08, 4 Ca 3.29



(7)
Entry from Alexandria via LeMat-Bulk: CaSiCl after structural relaxation (GGA-PBE).

**Final energy**: -9.504 eV per cell
**Symmetry**: F-43m

Cell lengths 4.7939, 4.7939, 4.7939 Å; angles 60.00, 60.00, 60.00 degrees
Closest atoms and distances in Å follow each position.
Element x y z (fractional)
Ca  0.5000  0.5000  0.5000  4 Cl 2.94
Cl  0.7500  0.7500  0.7500  4 Si 2.94, 4 Ca 2.94
Si  0.0000  0.0000  0.0000  4 Cl 2.94



(8)
Entry from Alexandria via LeMat-Bulk: CaSi2Cl8 after structural relaxation (GGA-PBE).

**Final energy**: -41.194 eV per cell
**Symmetry**: C2/m

Cell lengths 7.2376, 7.2359, 7.2359 Å; angles 78.08, 74.33, 74.33 degrees
Closest atoms and distances in Å follow each position.
Element x y z (fractional)
Ca  0.0000  0.0000  0.0000  6 Cl 2.73-2.79
Si  0.6161  0.8851  0.8851  4 Cl 2.14-2.28
Si  0.3839  0.1149  0.1149  4 Cl 2.14-2.28
Cl  0.2279  0.2774  0.8845  1 Si 2.22
Cl  0.7721  0.1155  0.7226  1 Si 2.22
Cl  0.3607  0.8107  0.8107  1 Si 2.28
Cl  0.6393  0.1893  0.1893  1 Si 2.28
Cl  0.2279  0.8845  0.2774  1 Si 2.22
Cl  0.7721  0.7226  0.1155  1 Si 2.22
Cl  0.8003  0.6897  0.6897  1 Si 2.14
Cl  0.1997  0.3103  0.3103  1 Si 2.14



(9)
Entry from Alexandria via LeMat-Bulk: CaSiCl2 after structural relaxation (GGA-PBE).

**Distance to the lowest polymorph of the same formula**: 0.000 eV per atom
**Symmetry**: R-3m

Cell lengths 12.2049, 12.2049, 12.2049 Å; angles 17.44, 17.44, 17.44 degrees
Closest atoms and distances in Å follow each position.
Element x y z (fractional)
Ca  0.7500  0.7500  0.7500  6 Cl 2.68
Cl  0.0386  0.0386  0.0386  3 Ca 2.68
Cl  0.4614  0.4614  0.4614  3 Ca 2.68
Si  0.2500  0.2500  0.2500  6 Si 3.70



(10)
Entry from Alexandria via LeMat-Bulk: CaSi2Cl after structural relaxation (GGA-PBE).

**Distance to the lowest polymorph of the same formula**: 0.973 eV per atom
**Symmetry**: P4/mmm

Cell lengths 5.2461, 5.2461, 3.1279 Å; angles 90.00, 90.00, 90.00 degrees
Closest atoms and distances in Å follow each position.
Element x y z (fractional)
Ca  0.5000  0.0000  0.5000  8 Si 3.05, 2 Ca 3.13
Cl  0.0000  0.5000  0.5000  8 Si 3.05, 2 Cl 3.13
Si  0.0000  0.0000  0.0000  4 Ca 3.05, 4 Cl 3.05, 2 Si 3.13
Si  0.5000  0.5000  0.0000  4 Cl 3.05, 4 Ca 3.05, 2 Si 3.13



(11)
Entry from Alexandria via LeMat-Bulk: CaSiCl2 after structural relaxation (GGA-PBE).

**Distance to the lowest polymorph of the same formula**: 0.004 eV per atom
**Symmetry**: R-3m

Cell lengths 11.6547, 11.6547, 11.6547 Å; angles 18.36, 18.36, 18.36 degrees
Closest atoms and distances in Å follow each position.
Element x y z (fractional)
Ca  0.5000  0.5000  0.5000  6 Cl 2.68
Si  0.0000  0.0000  0.0000  6 Si 3.72, 2 Cl 4.12
Cl  0.8801  0.8801  0.8801  3 Ca 2.68
Cl  0.1199  0.1199  0.1199  3 Ca 2.68



(12)
Entry from Alexandria via LeMat-Bulk: CaSi2Cl after structural relaxation (GGA-PBE).

**Distance to the lowest polymorph of the same formula**: 0.728 eV per atom
**Symmetry**: Cmmm

Cell lengths 6.3752, 6.3752, 3.4348 Å; angles 90.00, 90.00, 134.42 degrees
Closest atoms and distances in Å follow each position.
Element x y z (fractional)
Ca  0.5000  0.0000  0.5000  2 Cl 2.47
Cl  0.0000  0.5000  0.5000  2 Ca 2.47
Si  0.0000  0.0000  0.0000  2 Si 2.47
Si  0.5000  0.5000  0.0000  2 Si 2.47



(13)
Entry from Alexandria via LeMat-Bulk: CaSi2Cl after structural relaxation (GGA-PBE).

**Distance to the lowest polymorph of the same formula**: 0.517 eV per atom
**Symmetry**: Pmmm

Cell lengths 4.5510, 4.5635, 5.0953 Å; angles 90.00, 90.00, 90.00 degrees
Closest atoms and distances in Å follow each position.
Element x y z (fractional)
Ca  0.5000  0.5000  0.2500  2 Cl 2.55
Cl  0.5000  0.5000  0.7500  2 Ca 2.55
Si  0.0000  0.0000  0.0359  1 Si 2.18
Si  0.0000  0.0000  0.4641  1 Si 2.18



(14)
Entry from Alexandria via LeMat-Bulk: CaSi2Cl after structural relaxation (GGA-PBE).

**Distance to the lowest polymorph of the same formula**: 0.315 eV per atom
**Symmetry**: Pmmm

Cell lengths 3.6968, 3.7099, 6.2212 Å; angles 90.00, 90.00, 90.00 degrees
Closest atoms and distances in Å follow each position.
Element x y z (fractional)
Ca  0.5000  0.0000  0.5000  4 Cl 2.62
Cl  0.0000  0.5000  0.5000  4 Ca 2.62
Si  0.0000  0.0000  0.0000  4 Si 2.62
Si  0.5000  0.5000  0.0000  4 Si 2.62



(15)
Entry from Alexandria via LeMat-Bulk: CaV2SiCl after structural relaxation (GGA-PBE).

**Final energy**: -24.562 eV per cell
**Symmetry**: P4/mmm

Cell lengths 4.3321, 5.2061, 4.3321 Å; angles 90.00, 90.00, 90.00 degrees
Closest atoms and distances in Å follow each position.
Element x y z (fractional)
Ca  0.5000  0.5000  0.5000  4 Si 3.06, 8 V 3.39
Cl  0.0000  0.0000  0.0000  4 V 2.17
Si  0.0000  0.5000  0.0000  2 Cl 2.60
V  0.0000  0.0000  0.5000  2 Cl 2.17
V  0.5000  0.0000  0.0000  2 Cl 2.17



(16)
Entry from Alexandria via LeMat-Bulk: CaSmCl4 after structural relaxation (GGA-PBE).

**Final energy**: -52.746 eV per cell
**Symmetry**: P2_1/c

Cell lengths 6.6056, 6.7517, 7.2432 Å; angles 90.00, 88.11, 90.00 degrees
Closest atoms and distances in Å follow each position.
Element x y z (fractional)
Ca  0.5000  0.0000  0.5000  6 Cl 2.76-2.80
Ca  0.0000  0.5000  0.5000  6 Cl 2.76-2.80
Sm  0.0000  0.0000  0.0000  6 Cl 2.84-2.85
Sm  0.5000  0.5000  0.0000  6 Cl 2.84-2.85
Cl  0.8505  0.6491  0.1716  1 Ca 2.79, 2 Sm 2.84-2.85
Cl  0.6495  0.1491  0.8284  1 Ca 2.79, 2 Sm 2.84-2.85
Cl  0.3566  0.3523  0.3467  2 Ca 2.76-2.80, 1 Sm 2.84
Cl  0.1434  0.8523  0.6533  2 Ca 2.76-2.80, 1 Sm 2.84
Cl  0.1495  0.3509  0.8284  1 Ca 2.79, 2 Sm 2.84-2.85
Cl  0.3505  0.8509  0.1716  1 Ca 2.79, 2 Sm 2.84-2.85
Cl  0.6434  0.6477  0.6533  2 Ca 2.76-2.80, 1 Sm 2.84
Cl  0.8566  0.1477  0.3467  2 Ca 2.76-2.80, 1 Sm 2.84



(17)
Entry from Alexandria via LeMat-Bulk: CaSmCl5 after structural relaxation (GGA-PBE).

**Final energy**: -63.638 eV per cell
**Symmetry**: P2_1/m

Cell lengths 4.0772, 8.0070, 13.1589 Å; angles 93.70, 90.00, 90.00 degrees
Closest atoms and distances in Å follow each position.
Element x y z (fractional)
Ca  0.7500  0.0845  0.1350  5 Cl 2.76-2.91
Ca  0.2500  0.9155  0.8650  5 Cl 2.76-2.91
Sm  0.2500  0.4165  0.3478  7 Cl 2.70-2.95
Sm  0.7500  0.5835  0.6522  7 Cl 2.70-2.95
Cl  0.2500  0.0802  0.3118  1 Sm 2.70
Cl  0.7500  0.1302  0.9274  3 Ca 2.76-2.78
Cl  0.7500  0.3245  0.4817  3 Sm 2.82-2.95
Cl  0.2500  0.3437  0.1391  1 Sm 2.77, 2 Ca 2.91
Cl  0.2500  0.3856  0.7059  2 Sm 2.70
Cl  0.7500  0.6144  0.2941  2 Sm 2.70
Cl  0.7500  0.6563  0.8609  1 Sm 2.77, 2 Ca 2.91
Cl  0.2500  0.6755  0.5183  3 Sm 2.82-2.95
Cl  0.2500  0.8698  0.0726  3 Ca 2.76-2.78
Cl  0.7500  0.9198  0.6882  1 Sm 2.70



(18)
Entry from Alexandria via LeMat-Bulk: Ca2SmCl after structural relaxation (GGA-PBE).

**Final energy**: -13.744 eV per cell
**Symmetry**: R-3m

Cell lengths 3.7590, 3.7590, 10.4426 Å; angles 79.63, 79.63, 60.00 degrees
Closest atoms and distances in Å follow each position.
Element x y z (fractional)
Ca  0.7358  0.7358  0.7927  3 Cl 3.03
Ca  0.2642  0.2642  0.2073  3 Cl 3.03
Sm  0.5000  0.5000  0.5000  6 Ca 3.69, 6 Sm 3.76
Cl  0.0000  0.0000  0.0000  6 Ca 3.03



(19)
Entry from Alexandria via LeMat-Bulk: CaSmTlCl6 after structural relaxation (GGA-PBE).

**Final energy**: -77.435 eV per cell
**Symmetry**: P-31c

Cell lengths 7.2042, 7.2042, 13.7574 Å; angles 90.00, 90.00, 120.00 degrees
Closest atoms and distances in Å follow each position.
Element x y z (fractional)
Ca  0.3333  0.6667  0.2500  6 Cl 2.76
Ca  0.6667  0.3333  0.7500  6 Cl 2.76
Sm  0.6667  0.3333  0.2500  6 Cl 2.72
Sm  0.3333  0.6667  0.7500  6 Cl 2.72
Tl  0.0000  0.0000  0.0000  6 Cl 3.29
Tl  0.0000  0.0000  0.5000  6 Cl 3.29
Cl  0.6302  0.6263  0.1390  1 Sm 2.72, 1 Ca 2.76
Cl  0.9961  0.3698  0.1390  1 Sm 2.72, 1 Ca 2.76
Cl  0.3698  0.9961  0.6390  1 Sm 2.72, 1 Ca 2.76
Cl  0.0039  0.6302  0.8610  1 Sm 2.72, 1 Ca 2.76
Cl  0.3737  0.3698  0.3610  1 Sm 2.72, 1 Ca 2.76
Cl  0.9961  0.6263  0.3610  1 Sm 2.72, 1 Ca 2.76
Cl  0.6263  0.9961  0.8610  1 Sm 2.72, 1 Ca 2.76
Cl  0.6302  0.0039  0.3610  1 Sm 2.72, 1 Ca 2.76
Cl  0.0039  0.3737  0.6390  1 Sm 2.72, 1 Ca 2.76
Cl  0.3737  0.0039  0.1390  1 Sm 2.72, 1 Ca 2.76
Cl  0.6263  0.6302  0.6390  1 Sm 2.72, 1 Ca 2.76
Cl  0.3698  0.3737  0.8610  1 Sm 2.72, 1 Ca 2.76



(20)
Entry from Alexandria via LeMat-Bulk: Ca2Sn2Cl after structural relaxation (GGA-PBE).

**Final energy**: -36.560 eV per cell
**Symmetry**: P4/mbm

Cell lengths 8.1276, 8.1276, 4.6652 Å; angles 90.00, 90.00, 90.00 degrees
Closest atoms and distances in Å follow each position.
Element x y z (fractional)
Ca  0.3183  0.8183  0.0000  2 Cl 2.98, 2 Sn 3.28
Ca  0.8183  0.6817  0.0000  2 Cl 2.98, 2 Sn 3.28
Ca  0.6817  0.1817  0.0000  2 Cl 2.98, 2 Sn 3.28
Ca  0.1817  0.3183  0.0000  2 Cl 2.98, 2 Sn 3.28
Sn  0.1174  0.6174  0.5000  1 Sn 2.70
Sn  0.6174  0.8826  0.5000  1 Sn 2.70
Sn  0.8826  0.3826  0.5000  1 Sn 2.70
Sn  0.3826  0.1174  0.5000  1 Sn 2.70
Cl  0.0000  0.0000  0.0000  4 Ca 2.98
Cl  0.5000  0.5000  0.0000  4 Ca 2.98